Here is a geometry-optimized Sc2CoBiH structure from Alexandria via LeMat-Bulk. Energies are from PBE.

Cell lengths 5.058, 5.058, 3.526 Å; angles 90.00, 90.00, 90.00 degrees
Positions (direct):
Sc  0.000  0.500  0.000
Sc  0.500  0.000  0.000
Co  0.000  0.000  0.000
Bi  0.500  0.500  0.500
H  0.000  0.000  0.500

Properties
Symmetry: P4/mmm, No. 123
Magnetization in μB/atom: 0.0000
Final energy in eV per atom: -5.45